# 1
A plane-wave DFT calculation with GGA-PBE was carried out for a geometry-optimized Pa5C structure.

CIF file:
```
data_Pa5C
_cell_length_a 5.5315
_cell_length_b 14.9964
_cell_length_c 3.1735
_cell_angle_alpha 90.00
_cell_angle_beta 90.00
_cell_angle_gamma 90.00
_symmetry_space_group_name_H-M 'C m m m'
_symmetry_Int_Tables_number 65
_symmetry_space_group_name_Hall '-C 2 2'
loop_
_atom_site_label
_atom_site_fract_x
_atom_site_fract_y
_atom_site_fract_z
Pa1 0.0000 0.0000 0.0000
Pa2 0.0000 0.1939 0.5000
Pa3 0.0000 0.3830 0.0000
C1 0.0000 0.5000 0.5000
```

Final energy: -9.3291 eV per atom
Size of the total moment: 0.00 μB per formula unit
Energy of formation from the pure elements: 0.1215 eV/atom

# 2
A plane-wave DFT calculation with GGA-PBE was carried out for a geometry-optimized Pa3C structure.

CIF file:
```
data_Pa3C
_cell_length_a 4.0161
_cell_length_b 5.2399
_cell_length_c 4.0453
_cell_angle_alpha 90.00
_cell_angle_beta 90.00
_cell_angle_gamma 90.00
_symmetry_space_group_name_H-M 'P m m 2'
_symmetry_Int_Tables_number 25
_symmetry_space_group_name_Hall 'P 2 -2'
loop_
_atom_site_label
_atom_site_fract_x
_atom_site_fract_y
_atom_site_fract_z
Pa1 0.0000 0.0000 0.0000
Pa2 0.0000 0.5000 0.2780
Pa3 0.5000 0.0000 0.5122
C1 0.5000 0.5000 0.6076
```

Final energy: -8.7995 eV per atom
Size of the total moment: 0.00 μB per formula unit
E above lowest polymorph: 0.798 eV/atom
Energy of formation from the pure elements: 0.6284 eV/atom

# 3
A plane-wave DFT calculation with GGA-PBE was carried out for a geometry-optimized Pa2C structure.

CIF file:
```
data_Pa2C
_cell_length_a 5.9887
_cell_length_b 3.3637
_cell_length_c 5.6951
_cell_angle_alpha 90.00
_cell_angle_beta 99.47
_cell_angle_gamma 90.00
_symmetry_space_group_name_H-M 'C 1 2/m 1'
_symmetry_Int_Tables_number 12
_symmetry_space_group_name_Hall '-C 2y'
loop_
_atom_site_label
_atom_site_fract_x
_atom_site_fract_y
_atom_site_fract_z
Pa1 0.1275 0.0000 0.2362
C1 0.0000 0.5000 0.5000
```

Final energy: -9.6169 eV per atom
Size of the total moment: 0.00 μB per formula unit
E above lowest polymorph: 0.040 eV/atom
Energy of formation from the pure elements: -0.2117 eV/atom

# 4
A plane-wave DFT calculation with GGA-PBE was carried out for a geometry-optimized PaC4 structure.

CIF file:
```
data_PaC4
_cell_length_a 4.3251
_cell_length_b 4.3251
_cell_length_c 4.3251
_cell_angle_alpha 90.00
_cell_angle_beta 90.00
_cell_angle_gamma 90.00
_symmetry_space_group_name_H-M 'P m -3 m'
_symmetry_Int_Tables_number 221
_symmetry_space_group_name_Hall '-P 4 2 3'
loop_
_atom_site_label
_atom_site_fract_x
_atom_site_fract_y
_atom_site_fract_z
Pa1 0.0000 0.0000 0.0000
C1 0.0000 0.0000 0.5000
C2 0.5000 0.5000 0.5000
```

Final energy: -5.8779 eV per atom
Size of the total moment: 0.00 μB per formula unit
Energy of formation from the pure elements: 3.4004 eV/atom

# 5
A plane-wave DFT calculation with GGA-PBE was carried out for a geometry-optimized Pa2C structure.

CIF file:
```
data_Pa2C
_cell_length_a 3.4500
_cell_length_b 3.4500
_cell_length_c 17.1058
_cell_angle_alpha 90.00
_cell_angle_beta 90.00
_cell_angle_gamma 120.00
_symmetry_space_group_name_H-M 'P -3 m 1'
_symmetry_Int_Tables_number 164
_symmetry_space_group_name_Hall '-P 3 2"'
loop_
_atom_site_label
_atom_site_fract_x
_atom_site_fract_y
_atom_site_fract_z
Pa1 0.0000 0.0000 0.2374
Pa2 0.3333 0.6667 0.0755
Pa3 0.3333 0.6667 0.4114
C1 0.0000 0.0000 0.5000
C2 0.3333 0.6667 0.6836
```

Final energy: -9.6570 eV per atom
Size of the total moment: 0.00 μB per formula unit
E above lowest polymorph: 0.000 eV/atom
Energy of formation from the pure elements: -0.2518 eV/atom

# 6
A plane-wave DFT calculation with GGA-PBE was carried out for a geometry-optimized Pa6C5 structure.

CIF file:
```
data_Pa6C5
_cell_length_a 6.1458
_cell_length_b 10.6485
_cell_length_c 6.1508
_cell_angle_alpha 90.00
_cell_angle_beta 109.56
_cell_angle_gamma 90.00
_symmetry_space_group_name_H-M 'C 1 2/m 1'
_symmetry_Int_Tables_number 12
_symmetry_space_group_name_Hall '-C 2y'
loop_
_atom_site_label
_atom_site_fract_x
_atom_site_fract_y
_atom_site_fract_z
Pa1 0.2481 0.1658 0.2488
Pa2 0.2489 0.0000 0.7496
C1 0.0000 0.1742 0.5000
C2 0.0000 0.3346 0.0000
C3 0.0000 0.5000 0.5000
```

Final energy: -9.7882 eV per atom
Size of the total moment: 0.00 μB per formula unit
Energy of formation from the pure elements: -0.4159 eV/atom